# Sr2Ti2Sb2OF2

A crystal of Sr2Ti2Sb2OF2 relaxed with PBEsol (SCAN, Alexandria via LeMat-Bulk).

Structure (CIF):
```
data_Sr2Ti2Sb2OF2
_chemical_formula_sum 'Sr4 Ti4 Sb4 O2 F4'
_cell_length_a 4.0594
_cell_length_b 4.0594
_cell_length_c 20.9488
_cell_angle_alpha 90.00
_cell_angle_beta 90.00
_cell_angle_gamma 90.00
_symmetry_space_group_name_H-M 'I 4/m m m'
_symmetry_Int_Tables_number 139
_symmetry_space_group_name_Hall '-I 4 2'
loop_
_atom_site_label
_atom_site_fract_x
_atom_site_fract_y
_atom_site_fract_z
Sr1 0.0000 0.0000 0.1833
Ti1 0.0000 0.5000 0.0000
Sb1 0.0000 0.0000 0.4040
O1 0.0000 0.0000 0.0000
F1 0.0000 0.5000 0.2500
```

=====

# Sb2TeOF

A crystal of Sb2TeOF relaxed with PBEsol (SCAN, Alexandria via LeMat-Bulk).

Structure (CIF):
```
data_Sb2TeOF
_chemical_formula_sum 'Sb2 Te1 O1 F1'
_cell_length_a 4.6819
_cell_length_b 4.6819
_cell_length_c 4.6670
_cell_angle_alpha 90.00
_cell_angle_beta 90.00
_cell_angle_gamma 90.00
_symmetry_space_group_name_H-M 'P 4/m m m'
_symmetry_Int_Tables_number 123
_symmetry_space_group_name_Hall '-P 4 2'
loop_
_atom_site_label
_atom_site_fract_x
_atom_site_fract_y
_atom_site_fract_z
Sb1 0.0000 0.5000 0.0000
Te1 0.0000 0.0000 0.5000
O1 0.0000 0.0000 0.0000
F1 0.5000 0.5000 0.5000
```

=====

# SbTeO2F

A crystal of SbTeO2F relaxed with PBEsol (SCAN, Alexandria via LeMat-Bulk).

Structure (CIF):
```
data_SbTeO2F
_chemical_formula_sum 'Sb1 Te1 O2 F1'
_cell_length_a 4.2284
_cell_length_b 4.2284
_cell_length_c 4.3068
_cell_angle_alpha 90.00
_cell_angle_beta 90.00
_cell_angle_gamma 90.00
_symmetry_space_group_name_H-M 'P 4/m m m'
_symmetry_Int_Tables_number 123
_symmetry_space_group_name_Hall '-P 4 2'
loop_
_atom_site_label
_atom_site_fract_x
_atom_site_fract_y
_atom_site_fract_z
Sb1 0.0000 0.0000 0.0000
Te1 0.5000 0.5000 0.5000
O1 0.0000 0.5000 0.0000
F1 0.0000 0.0000 0.5000
```

=====

# YSbOF2

A crystal of YSbOF2 relaxed with PBEsol (SCAN, Alexandria via LeMat-Bulk).

Structure (CIF):
```
data_YSbOF2
_chemical_formula_sum 'Y1 Sb1 O1 F2'
_cell_length_a 4.0580
_cell_length_b 4.0580
_cell_length_c 6.4300
_cell_angle_alpha 90.00
_cell_angle_beta 90.00
_cell_angle_gamma 90.00
_symmetry_space_group_name_H-M 'P 4/m m m'
_symmetry_Int_Tables_number 123
_symmetry_space_group_name_Hall '-P 4 2'
loop_
_atom_site_label
_atom_site_fract_x
_atom_site_fract_y
_atom_site_fract_z
Y1 0.0000 0.0000 0.0000
Sb1 0.0000 0.0000 0.5000
O1 0.5000 0.5000 0.5000
F1 0.0000 0.5000 0.0000
```

=====

# ZrSbOF2

A crystal of ZrSbOF2 relaxed with PBEsol (SCAN, Alexandria via LeMat-Bulk).

Structure (CIF):
```
data_ZrSbOF2
_chemical_formula_sum 'Zr1 Sb1 O1 F2'
_cell_length_a 4.3683
_cell_length_b 4.3683
_cell_length_c 4.0561
_cell_angle_alpha 90.00
_cell_angle_beta 90.00
_cell_angle_gamma 90.00
_symmetry_space_group_name_H-M 'P 4/m m m'
_symmetry_Int_Tables_number 123
_symmetry_space_group_name_Hall '-P 4 2'
loop_
_atom_site_label
_atom_site_fract_x
_atom_site_fract_y
_atom_site_fract_z
Zr1 0.0000 0.0000 0.0000
Sb1 0.5000 0.5000 0.5000
O1 0.0000 0.0000 0.5000
F1 0.0000 0.5000 0.0000
```

=====

# Sc3OF

A crystal of Sc3OF relaxed with PBEsol (SCAN, Alexandria via LeMat-Bulk).

Structure (CIF):
```
data_Sc3OF
_chemical_formula_sum 'Sc3 O1 F1'
_cell_length_a 4.2994
_cell_length_b 4.2994
_cell_length_c 4.2994
_cell_angle_alpha 90.00
_cell_angle_beta 90.00
_cell_angle_gamma 90.00
_symmetry_space_group_name_H-M 'P m -3 m'
_symmetry_Int_Tables_number 221
_symmetry_space_group_name_Hall '-P 4 2 3'
loop_
_atom_site_label
_atom_site_fract_x
_atom_site_fract_y
_atom_site_fract_z
Sc1 0.0000 0.0000 0.5000
O1 0.5000 0.5000 0.5000
F1 0.0000 0.0000 0.0000
```

=====

# ScOF

A crystal of ScOF relaxed with PBEsol (SCAN, Alexandria via LeMat-Bulk).

Structure (CIF):
```
data_ScOF
_chemical_formula_sum 'Sc4 O4 F4'
_cell_length_a 5.1557
_cell_length_b 5.1376
_cell_length_c 5.2125
_cell_angle_alpha 90.00
_cell_angle_beta 99.83
_cell_angle_gamma 90.00
_symmetry_space_group_name_H-M 'P 1 21/c 1'
_symmetry_Int_Tables_number 14
loop_
_symmetry_equiv_pos_as_xyz
'x,y,z'
'-x,-y,-z'
'-x,y+1/2,-z+1/2'
'x,-y+1/2,z+1/2'
loop_
_atom_site_label
_atom_site_fract_x
_atom_site_fract_y
_atom_site_fract_z
Sc1 0.1919 0.0280 0.2876
O1 0.0442 0.7461 0.5119
F1 0.4419 0.1716 0.6602
```

=====

# ScO2F2

A crystal of ScO2F2 relaxed with PBEsol (SCAN, Alexandria via LeMat-Bulk).

Structure (CIF):
```
data_ScO2F2
_chemical_formula_sum 'Sc1 O2 F2'
_cell_length_a 3.5151
_cell_length_b 3.5151
_cell_length_c 4.0137
_cell_angle_alpha 90.00
_cell_angle_beta 90.00
_cell_angle_gamma 90.00
_symmetry_space_group_name_H-M 'P 4/m m m'
_symmetry_Int_Tables_number 123
_symmetry_space_group_name_Hall '-P 4 2'
loop_
_atom_site_label
_atom_site_fract_x
_atom_site_fract_y
_atom_site_fract_z
Sc1 0.0000 0.0000 0.0000
O1 0.0000 0.5000 0.5000
F1 0.5000 0.5000 0.0000
F2 0.5000 0.5000 0.5000
```

=====

# ScSeOF2

A crystal of ScSeOF2 relaxed with PBEsol (SCAN, Alexandria via LeMat-Bulk).

Structure (CIF):
```
data_ScSeOF2
_chemical_formula_sum 'Sc1 Se1 O1 F2'
_cell_length_a 4.5651
_cell_length_b 4.5651
_cell_length_c 3.7704
_cell_angle_alpha 90.00
_cell_angle_beta 90.00
_cell_angle_gamma 90.00
_symmetry_space_group_name_H-M 'P 4/m m m'
_symmetry_Int_Tables_number 123
_symmetry_space_group_name_Hall '-P 4 2'
loop_
_atom_site_label
_atom_site_fract_x
_atom_site_fract_y
_atom_site_fract_z
Sc1 0.0000 0.0000 0.0000
Se1 0.5000 0.5000 0.5000
O1 0.5000 0.5000 0.0000
F1 0.0000 0.5000 0.5000
```

=====

# ScSeO2F

A crystal of ScSeO2F relaxed with PBEsol (SCAN, Alexandria via LeMat-Bulk).

Structure (CIF):
```
data_ScSeO2F
_chemical_formula_sum 'Sc1 Se1 O2 F1'
_cell_length_a 3.8997
_cell_length_b 3.8997
_cell_length_c 4.5310
_cell_angle_alpha 90.00
_cell_angle_beta 90.00
_cell_angle_gamma 90.00
_symmetry_space_group_name_H-M 'P 4/m m m'
_symmetry_Int_Tables_number 123
_symmetry_space_group_name_Hall '-P 4 2'
loop_
_atom_site_label
_atom_site_fract_x
_atom_site_fract_y
_atom_site_fract_z
Sc1 0.0000 0.0000 0.0000
Se1 0.5000 0.5000 0.5000
O1 0.0000 0.5000 0.5000
F1 0.5000 0.5000 0.0000
```

=====

# ScTaO2F

A crystal of ScTaO2F relaxed with PBEsol (SCAN, Alexandria via LeMat-Bulk).

Structure (CIF):
```
data_ScTaO2F
_chemical_formula_sum 'Sc1 Ta1 O2 F1'
_cell_length_a 4.0831
_cell_length_b 4.0831
_cell_length_c 3.8524
_cell_angle_alpha 90.00
_cell_angle_beta 90.00
_cell_angle_gamma 90.00
_symmetry_space_group_name_H-M 'P 4/m m m'
_symmetry_Int_Tables_number 123
_symmetry_space_group_name_Hall '-P 4 2'
loop_
_atom_site_label
_atom_site_fract_x
_atom_site_fract_y
_atom_site_fract_z
Sc1 0.0000 0.0000 0.0000
Ta1 0.5000 0.5000 0.5000
O1 0.0000 0.5000 0.0000
F1 0.0000 0.0000 0.5000
```

=====

# ScTeOF2

A crystal of ScTeOF2 relaxed with PBEsol (SCAN, Alexandria via LeMat-Bulk).

Structure (CIF):
```
data_ScTeOF2
_chemical_formula_sum 'Sc1 Te1 O1 F2'
_cell_length_a 4.0300
_cell_length_b 4.0300
_cell_length_c 4.4394
_cell_angle_alpha 90.00
_cell_angle_beta 90.00
_cell_angle_gamma 90.00
_symmetry_space_group_name_H-M 'P 4/m m m'
_symmetry_Int_Tables_number 123
_symmetry_space_group_name_Hall '-P 4 2'
loop_
_atom_site_label
_atom_site_fract_x
_atom_site_fract_y
_atom_site_fract_z
Sc1 0.0000 0.0000 0.0000
Te1 0.5000 0.5000 0.5000
O1 0.0000 0.0000 0.5000
F1 0.0000 0.5000 0.0000
```

=====

Number 1: calculated total energy -20.69 eV per atom. Number 2: calculated total energy -24.38 eV per atom. Number 3: calculated total energy -18.71 eV per atom. Number 4: calculated total energy -17.79 eV per atom. Number 5: calculated total energy -18.41 eV per atom. Number 6: calculated total energy -11.15 eV per atom. Number 7: calculated total energy -12.09 eV per atom. Number 8: calculated total energy -7.71 eV per atom. Number 9: calculated total energy -10.45 eV per atom. Number 10: calculated total energy -11.03 eV per atom. Number 11: calculated total energy -21.13 eV per atom. Number 12: calculated total energy -15.32 eV per atom.